The following is a PBE calculation of a relaxed structure of CsTaPt, from OQMD via LeMat-Bulk.

Results
**Crystal system**: cubic
**Space-group type**: F-43m (216)
**Distance to the lowest polymorph of the same formula**: 0.0 meV/atom

Cell and atoms, written as POSCAR:
```
CsTaPt
1.0
6.6382 0.0000 0.0000
0.0000 6.6382 0.0000
0.0000 0.0000 6.6382
Cs Ta Pt
4 4 4
direct
0.0000 0.0000 0.0000 Cs
0.0000 0.5000 0.5000 Cs
0.5000 0.0000 0.5000 Cs
0.5000 0.5000 0.0000 Cs
0.2500 0.2500 0.2500 Ta
0.2500 0.7500 0.7500 Ta
0.7500 0.2500 0.7500 Ta
0.7500 0.7500 0.2500 Ta
0.0000 0.0000 0.5000 Pt
0.0000 0.5000 0.0000 Pt
0.5000 0.0000 0.0000 Pt
0.5000 0.5000 0.5000 Pt
```